Entry 1:
A relaxed structure of AcEuTl. Source: Alexandria via LeMat-Bulk, functional GGA-PBE.

a b c (Å): 5.603 5.603 5.603
angles (deg): 60.00 60.00 60.00
Last column: magnetic moment on the atom in μB.
Fractional positions:
Eu 0.500 0.500 0.500  -6.92
Tl 0.250 0.250 0.250  0.03
Ac 0.000 0.000 0.000  -0.05

Values from the calculation:
Crystal system: cubic
N(E_F), states/eV per cell: 10.26
Energy above the most stable polymorph in this dataset, eV per atom: 0.099
E_form, kcal/mol of atoms: -3.25

---

Entry 2:
A relaxed structure of AcEuTmTl. Source: Alexandria via LeMat-Bulk, functional GGA-PBE.

a b c (Å): 5.725 5.725 5.725
angles (deg): 60.00 60.00 60.00
Last column: magnetic moment on the atom in μB.
Fractional positions:
Tl 0.000 0.000 0.000  0.01
Tm 0.750 0.750 0.750  -0.31
Ac 0.500 0.500 0.500  -0.21
Eu 0.250 0.250 0.250  -6.94

Values from the calculation:
Crystal system: cubic
N(E_F), states/eV per cell: 6.67
E_form, kcal/mol of atoms: 1.20

---

Entry 3:
A relaxed structure of AcEuYTl. Source: Alexandria via LeMat-Bulk, functional GGA-PBE.

a b c (Å): 5.748 5.748 5.748
angles (deg): 60.00 60.00 60.00
Last column: magnetic moment on the atom in μB.
Fractional positions:
Tl 0.500 0.500 0.500  -0.01
Eu 0.250 0.250 0.250  6.96
Y 0.750 0.750 0.750  0.29
Ac 0.000 0.000 0.000  0.26

Values from the calculation:
Crystal system: cubic
N(E_F), states/eV per cell: 6.65
E_form, kcal/mol of atoms: 0.50

---

Entry 4:
A relaxed structure of Ac2EuTm. Source: Alexandria via LeMat-Bulk, functional GGA-PBE.

a b c (Å): 6.090 6.090 6.090
angles (deg): 60.00 60.00 60.00
Last column: magnetic moment on the atom in μB.
Fractional positions:
Ac 0.250 0.250 0.250  0.04
Eu 0.000 0.000 0.000  6.87
Tm 0.500 0.500 0.500  0.04
Ac 0.750 0.750 0.750  0.04

Values from the calculation:
Crystal system: cubic
N(E_F), states/eV per cell: 5.46
Energy above the most stable polymorph in this dataset, eV per atom: 0.048
E_form, kcal/mol of atoms: 2.08

---

Entry 5:
A relaxed structure of AcEuTm2. Source: Alexandria via LeMat-Bulk, functional GGA-PBE.

a b c (Å): 4.074 4.074 8.600
angles (deg): 90.00 90.00 90.00
Last column: magnetic moment on the atom in μB.
Fractional positions:
Tm 0.000 0.000 0.736  -0.02
Tm 0.000 0.000 0.264  -0.02
Ac 0.500 0.500 0.000  0.05
Eu 0.500 0.500 0.500  -6.87

Values from the calculation:
Crystal system: tetragonal
N(E_F), states/eV per cell: 5.45
Energy above the most stable polymorph in this dataset, eV per atom: 0.003
E_form, kcal/mol of atoms: 2.82

---

Entry 6:
A relaxed structure of Ac2EuTm. Source: Alexandria via LeMat-Bulk, functional GGA-PBE.

a b c (Å): 3.921 3.921 10.465
angles (deg): 90.00 90.00 90.00
Last column: magnetic moment on the atom in μB.
Fractional positions:
Eu 0.500 0.500 0.500  6.95
Ac 0.000 0.000 0.767  0.01
Tm 0.500 0.500 0.000  -0.18
Ac 0.000 0.000 0.233  0.01

Values from the calculation:
Crystal system: tetragonal
N(E_F), states/eV per cell: 5.40
Energy above the most stable polymorph in this dataset, eV per atom: 0.000
E_form, kcal/mol of atoms: 0.98

---

Entry 7:
A relaxed structure of AcEu2Tm. Source: Alexandria via LeMat-Bulk, functional GGA-PBE.

a b c (Å): 3.795 3.795 10.784
angles (deg): 90.00 90.00 90.00
Last column: magnetic moment on the atom in μB.
Fractional positions:
Ac 0.500 0.500 0.500  0.00
Eu 0.000 0.000 0.233  -6.92
Eu 0.000 0.000 0.767  -6.92
Tm 0.500 0.500 0.000  -0.48

Values from the calculation:
Crystal system: tetragonal
N(E_F), states/eV per cell: 4.21
Energy above the most stable polymorph in this dataset, eV per atom: 0.005
E_form, kcal/mol of atoms: 2.33

---

Entry 8:
A relaxed structure of AcEu2Tm. Source: Alexandria via LeMat-Bulk, functional GGA-PBE.

a b c (Å): 6.034 6.034 6.034
angles (deg): 60.00 60.00 60.00
Last column: magnetic moment on the atom in μB.
Fractional positions:
Eu 0.750 0.750 0.750  -6.85
Tm 0.000 0.000 0.000  -0.06
Eu 0.250 0.250 0.250  -6.85
Ac 0.500 0.500 0.500  -0.05

Values from the calculation:
Crystal system: cubic
N(E_F), states/eV per cell: 4.55
Energy above the most stable polymorph in this dataset, eV per atom: 0.041
E_form, kcal/mol of atoms: 3.17

---

Entry 9:
A relaxed structure of AcEu2Tm. Source: Alexandria via LeMat-Bulk, functional GGA-PBE.

a b c (Å): 5.492 5.315 5.315
angles (deg): 90.00 90.00 90.00
Last column: magnetic moment on the atom in μB.
Fractional positions:
Eu 0.000 0.500 0.000  6.93
Ac 0.500 0.000 0.000  0.13
Eu 0.000 0.000 0.500  6.93
Tm 0.500 0.500 0.500  0.20

Values from the calculation:
Crystal system: tetragonal
N(E_F), states/eV per cell: 5.66
Energy above the most stable polymorph in this dataset, eV per atom: 0.015
E_form, kcal/mol of atoms: 2.57

---

Entry 10:
A relaxed structure of AcEu2Tm. Source: Alexandria via LeMat-Bulk, functional GGA-PBE.

a b c (Å): 3.801 3.801 12.638
angles (deg): 81.35 81.35 60.00
Last column: magnetic moment on the atom in μB.
Fractional positions:
Eu 0.746 0.746 0.763  6.97
Eu 0.254 0.254 0.237  6.97
Ac 0.500 0.500 0.500  0.04
Tm 0.000 0.000 0.000  0.38

Values from the calculation:
Crystal system: trigonal
N(E_F), states/eV per cell: 5.20
Energy above the most stable polymorph in this dataset, eV per atom: 0.000
E_form, kcal/mol of atoms: 2.22

---

Entry 11:
A relaxed structure of Ac2EuTm. Source: Alexandria via LeMat-Bulk, functional GGA-PBE.

a b c (Å): 3.741 3.741 13.590
angles (deg): 82.09 82.09 60.00
Last column: magnetic moment on the atom in μB.
Fractional positions:
Ac 0.915 0.915 0.254  0.00
Ac 0.085 0.085 0.746  0.00
Tm 0.000 0.000 0.000  -0.05
Eu 0.500 0.500 0.500  6.97

Values from the calculation:
Crystal system: trigonal
N(E_F), states/eV per cell: 6.75
Energy above the most stable polymorph in this dataset, eV per atom: 0.236
E_form, kcal/mol of atoms: 6.42

---

Entry 12:
A relaxed structure of Ac4EuTm. Source: Alexandria via LeMat-Bulk, functional GGA-PBE.

a b c (Å): 7.258 7.258 7.258
angles (deg): 60.00 60.00 60.00
Last column: magnetic moment on the atom in μB.
Fractional positions:
Eu 0.250 0.250 0.250  6.93
Ac 0.121 0.626 0.626  0.01
Ac 0.626 0.626 0.626  0.01
Tm 0.000 0.000 0.000  -0.10
Ac 0.626 0.121 0.626  0.01
Ac 0.626 0.626 0.121  0.01

Values from the calculation:
Crystal system: cubic
N(E_F), states/eV per cell: 16.29
E_form, kcal/mol of atoms: 7.34